Record 1
{"formula": "Mn2CrRu3", "functional": "PBE", "state": "relaxed", "m_tot_mub_per_atom": 0.0001, "ef_ev_per_atom": 0.063, "n_ef_per_ev_atom": 1.153, "sg": "No. 15", "density_g_cm3": 10.224, "vol_a3_per_fu": 76, "lattice": [[6.452, -2.614, 0.000], [6.452, 2.614, 0.000], [-1.058, 0.000, 4.478]], "species": ["Mn", "Mn", "Mn", "Mn", "Cr", "Cr", "Ru", "Ru", "Ru", "Ru", "Ru", "Ru"], "frac_coords": [[0.043, 0.297, 0.032], [0.297, 0.043, 0.532], [0.703, 0.957, 0.468], [0.957, 0.703, 0.968], [0.368, 0.632, 0.250], [0.632, 0.368, 0.750], [0.124, 0.876, 0.750], [0.210, 0.454, 0.459], [0.454, 0.210, 0.959], [0.546, 0.790, 0.041], [0.790, 0.546, 0.541], [0.876, 0.124, 0.250]]}

Record 2
{"formula": "MnCrRu", "functional": "PBE", "state": "relaxed", "m_tot_mub_per_atom": 0.5473, "relative_energy_kj_per_mol_fu": 158, "ef_ev_per_atom": 0.545, "n_ef_per_ev_atom": 1.633, "sg": "No. 216", "density_g_cm3": 7.920, "vol_a3_per_fu": 44, "lattice": [[0.000, 2.794, 2.794], [2.794, 0.000, 2.794], [2.794, 2.794, 0.000]], "species": ["Mn", "Cr", "Ru"], "frac_coords": [[0.000, 0.000, 0.000], [0.750, 0.750, 0.750], [0.250, 0.250, 0.250]]}